Rb2LiV2O6 PBE with a Hubbard U relaxed; size of the total moment = 0.97 Bohr magnetons per cell; uncorrected energy = -6.096 eV per atom; volume = 192.9 Å³/cell; SG = R-3m (166)
1.0
6.124 0.000 0.000
3.062 5.304 0.000
3.062 1.768 5.940
Rb O V Li
2 6 2 1
Cartesian
9.186 5.304 3.815 Rb
3.062 1.768 2.125 Rb
4.662 4.379 1.338 O
6.124 1.848 1.338 O
6.124 5.223 4.602 O
4.662 2.692 4.602 O
7.586 2.692 4.602 O
7.586 4.379 1.338 O
6.124 3.536 4.383 V
6.124 3.536 1.557 V
0.000 0.000 0.000 Li